--- i ---
A geometry-optimized TbErPu structure. Source: Alexandria, functional GGA-PBE.

Values from the calculation:
As for the total magnetic moment: 6.1 μB per cell. The space group is P3m1.

Cell lengths 3.504, 3.504, 8.502 Å; angles 90.00, 90.00, 120.00 degrees
Fractional coordinates of all 3 atoms:
Tb 0.000 0.000 0.000
Er 0.333 0.667 0.663
Pu 0.667 0.333 0.333

=====

--- ii ---
A geometry-optimized TbErPu structure. Source: Alexandria, functional GGA-PBE.

Values from the calculation:
As for the total magnetic moment: 6.1 μB per cell. The space group is I4mm.

Cell lengths 7.780, 7.780, 7.780 Å; angles 154.08, 154.08, 36.99 degrees
Fractional coordinates of all 3 atoms:
Tb 0.000 0.000 0.000
Er 0.328 0.328 0.000
Pu 0.665 0.665 0.000

=====

--- iii ---
A geometry-optimized TbErPu structure. Source: Alexandria, functional GGA-PBE.

Values from the calculation:
As for the total magnetic moment: 13.0 μB per cell. The space group is Pmmn.

Cell lengths 3.351, 5.542, 9.645 Å; angles 90.00, 90.00, 90.00 degrees
Fractional coordinates of all 6 atoms:
Tb 0.250 0.250 0.102
Tb 0.750 0.750 0.898
Er 0.250 0.750 0.564
Er 0.750 0.250 0.436
Pu 0.250 0.250 0.754
Pu 0.750 0.750 0.246

=====

Each structure's energy above the most stable one, in meV per atom: i 15; ii 0; iii 51.

=====

--- i ---
A geometry-optimized TbEr2Pu structure. Source: Alexandria, functional GGA-PBE.

Values from the calculation:
As for the total magnetic moment: 5.9 μB per cell. The space group is R3m.

Cell lengths 11.477, 11.477, 11.477 Å; angles 17.62, 17.62, 17.62 degrees
Fractional coordinates of all 4 atoms:
Tb 0.000 0.000 0.000
Er 0.249 0.249 0.249
Er 0.418 0.418 0.418
Pu 0.834 0.834 0.834

=====

--- ii ---
A geometry-optimized TbEr2Pu structure. Source: Alexandria, functional GGA-PBE.

Values from the calculation:
As for the total magnetic moment: 6.6 μB per cell. The space group is Fm-3m.

Cell lengths 5.554, 5.554, 5.554 Å; angles 60.00, 60.00, 60.00 degrees
Fractional coordinates of all 4 atoms:
Tb 0.000 0.000 0.000
Er 0.250 0.250 0.250
Er 0.750 0.750 0.750
Pu 0.500 0.500 0.500

=====

--- iii ---
A geometry-optimized TbEr2Pu structure. Source: Alexandria, functional GGA-PBE.

Values from the calculation:
As for the total magnetic moment: 6.3 μB per cell. The space group is P4/mmm.

Cell lengths 4.935, 4.935, 4.945 Å; angles 90.00, 90.00, 90.00 degrees
Fractional coordinates of all 4 atoms:
Tb 0.000 0.000 0.000
Er 0.000 0.500 0.500
Er 0.500 0.000 0.500
Pu 0.500 0.500 0.000

=====

Each structure's energy above the most stable one, in meV per atom: i 0; ii 97; iii 45.

=====

--- i ---
A geometry-optimized Tb4Er5Pu structure. Source: Alexandria, functional GGA-PBE.

Values from the calculation:
As for the total magnetic moment: 5.8 μB per cell. The space group is I4mm.

Cell lengths 8.106, 8.106, 8.106 Å; angles 96.36, 96.36, 141.12 degrees
Fractional coordinates of all 10 atoms:
Tb 0.000 0.324 0.324
Tb 0.000 0.676 0.676
Tb 0.324 0.000 0.324
Tb 0.676 0.000 0.676
Er 0.316 0.316 0.632
Er 0.316 0.684 0.000
Er 0.684 0.316 0.000
Er 0.684 0.684 0.368
Er 0.995 0.995 0.000
Pu 0.495 0.495 0.000

=====

--- ii ---
A geometry-optimized Tb4Er5Pu structure. Source: Alexandria, functional GGA-PBE.

Values from the calculation:
As for the total magnetic moment: 6.3 μB per cell. The space group is C2/m.

Cell lengths 9.189, 9.189, 8.569 Å; angles 116.88, 116.88, 31.06 degrees
Fractional coordinates of all 10 atoms:
Tb 0.028 0.028 0.282
Tb 0.324 0.324 0.572
Tb 0.676 0.676 0.428
Tb 0.972 0.972 0.718
Er 0.167 0.167 0.716
Er 0.168 0.168 0.121
Er 0.500 0.500 0.000
Er 0.832 0.832 0.879
Er 0.833 0.833 0.284
Pu 0.500 0.500 0.500

=====

Each structure's energy above the most stable one, in meV per atom: i 0; ii 13.